Density functional theory data (PBE) for a relaxed structure of Mn2CdGa.

The structure in extended XYZ format:
```
4
Lattice="4.0148 0.0000 0.0000 0.0000 4.0148 0.0000 0.0000 0.0000 3.8251" Properties=species:S:1:pos:R:3 pbc="T T T"
Mn 0.0000 2.0074 0.0000
Mn 2.0074 0.0000 0.0000
Cd 0.0000 0.0000 1.9126
Ga 2.0074 2.0074 1.9126
```

Values from the calculation:
- E (Ry/atom) = -0.3983



Density functional theory data (PBE) for a relaxed structure of MnNbCdGa2.

The structure in extended XYZ format:
```
5
Lattice="4.4794 0.0000 0.0000 0.0000 4.4794 0.0000 0.0000 0.0000 4.8859" Properties=species:S:1:pos:R:3 pbc="T T T"
Mn 0.0000 0.0000 0.0000
Nb 2.2397 2.2397 2.4430
Cd 0.0000 0.0000 2.4430
Ga 0.0000 2.2397 0.0000
Ga 2.2397 0.0000 0.0000
```

Values from the calculation:
- E (Ry/atom) = -0.3251